(1)
Density functional theory data (PBE) for SiBi3Rh after structural relaxation.

excess energy over the best structure of this formula in the dataset	9.158	kcal/mol of atoms
space-group type	No. 221
magnetic moment	0.00	μB/cell

a b c (Å): 5.268 5.268 5.268
angles (deg): 90.00 90.00 90.00
Atoms (fractional coordinates):
Bi 0.000 0.500 0.000
Bi 0.000 0.000 0.500
Si 0.000 0.000 0.000
Bi 0.500 0.000 0.000
Rh 0.500 0.500 0.500

=====

(2)
Density functional theory data (PBE) for SiBiRh after structural relaxation.

space-group type	No. 38
magnetic moment	0.00	μB/cell

a b c (Å): 3.207 3.006 12.956
angles (deg): 90.00 89.97 90.00
Atoms (fractional coordinates):
Si 0.257 0.500 0.427
Rh 0.757 0.500 0.005
Bi 0.257 0.500 0.207
Rh 0.757 0.000 0.505
Si 0.257 0.000 0.927
Bi 0.257 0.000 0.707

=====

(3)
Density functional theory data (PBE) for Si2BiRh after structural relaxation.

space-group type	No. 122
magnetic moment	0.00	μB/cell

a b c (Å): 5.776 5.776 7.174
angles (deg): 66.26 66.26 90.00
Atoms (fractional coordinates):
Bi 0.000 0.000 0.000
Rh 0.500 0.500 0.000
Si 0.375 0.451 0.750
Si 0.201 0.625 0.250
Si 0.549 0.125 0.250
Si 0.875 0.799 0.750
Bi 0.750 0.250 0.500
Rh 0.250 0.750 0.500

=====

(4)
Density functional theory data (PBE) for Si2Bi2Rh3 after structural relaxation.

space-group type	No. 12
magnetic moment	0.00	μB/cell

a b c (Å): 7.044 7.044 7.459
angles (deg): 58.54 58.54 64.04
Atoms (fractional coordinates):
Bi 0.795 0.795 0.726
Bi 0.749 0.749 0.226
Si 0.336 0.680 0.822
Bi 0.205 0.205 0.274
Si 0.680 0.336 0.822
Rh 0.000 0.500 0.500
Si 0.664 0.320 0.178
Bi 0.251 0.251 0.774
Rh 0.288 0.712 0.500
Rh 0.993 0.993 0.216
Rh 0.007 0.007 0.784
Si 0.320 0.664 0.178
Rh 0.500 0.000 0.500
Rh 0.712 0.288 0.500

=====

(5)
Density functional theory data (PBE) for SiBiRh after structural relaxation.

space-group type	No. 129
magnetic moment	0.00	μB/cell

a b c (Å): 3.629 3.629 9.345
angles (deg): 90.00 90.00 90.00
Atoms (fractional coordinates):
Si 0.500 0.500 0.500
Bi 0.000 0.500 0.846
Rh 0.000 0.500 0.335
Rh 0.500 0.000 0.665
Si 0.000 0.000 0.500
Bi 0.500 0.000 0.154

=====

(6)
Density functional theory data (PBE) for SiBi3Rh after structural relaxation.

excess energy over the best structure of this formula in the dataset	0.000	kcal/mol of atoms
space-group type	No. 221
magnetic moment	0.00	μB/cell

a b c (Å): 5.297 5.297 5.297
angles (deg): 90.00 90.00 90.00
Atoms (fractional coordinates):
Rh 0.000 0.000 0.000
Bi 0.000 0.000 0.500
Bi 0.500 0.000 0.000
Si 0.500 0.500 0.500
Bi 0.000 0.500 0.000

=====

Number 1: formation energy (no corrections) 1.018 eV per atom. Number 2: formation energy (no corrections) -0.180 eV per atom. Number 3: formation energy (no corrections) 0.100 eV per atom. Number 4: formation energy (no corrections) -0.185 eV per atom. Number 5: formation energy (no corrections) -0.420 eV per atom. Number 6: formation energy (no corrections) 0.621 eV per atom.